Record 1
## Co3PAu (PBE-GGA)

Data for an optimized crystal structure of Co3PAu.

Cell and atoms, written as CIF:
```
data_Co3PAu
_chemical_formula_sum 'Co3 P1 Au1'
_cell_length_a 4.6506
_cell_length_b 4.6506
_cell_length_c 4.6506
_cell_angle_alpha 90.00
_cell_angle_beta 90.00
_cell_angle_gamma 90.00
_symmetry_space_group_name_H-M 'P 1'
_symmetry_Int_Tables_number 1
_symmetry_space_group_name_Hall 'P 1'
loop_
_atom_site_label
_atom_site_type_symbol
_atom_site_fract_x
_atom_site_fract_y
_atom_site_fract_z
_atom_site_occupancy
Co1 Co 0.0000 0.5000 0.0000 1
Co2 Co 0.0000 0.0000 0.5000 1
Co3 Co 0.5000 0.0000 0.0000 1
Au1 Au 0.0000 0.0000 0.0000 1
P1 P 0.5000 0.5000 0.5000 1
```

Output
Total magnetization ... 6.4 μB per formula unit
Calculated density ... 6.7 g/cm³
Energy of formation from the pure elements ... 1675.9 meV/atom
SG ... No. 221

Record 2
## AgAs2Br (PBE-GGA)

Data for an optimized crystal structure of AgAs2Br.

Cell and atoms, written as CIF:
```
data_AgAs2Br
_chemical_formula_sum 'Ag1 As2 Br1'
_cell_length_a 6.6223
_cell_length_b 6.6223
_cell_length_c 6.6223
_cell_angle_alpha 37.85
_cell_angle_beta 37.85
_cell_angle_gamma 37.85
_symmetry_space_group_name_H-M 'P 1'
_symmetry_Int_Tables_number 1
_symmetry_space_group_name_Hall 'P 1'
loop_
_atom_site_label
_atom_site_type_symbol
_atom_site_fract_x
_atom_site_fract_y
_atom_site_fract_z
_atom_site_occupancy
As1 As 0.0341 0.0341 0.0341 1
As2 As 0.4659 0.4659 0.4659 1
Br1 Br 0.2500 0.2500 0.2500 1
Ag1 Ag 0.7500 0.7500 0.7500 1
```

Output
Total magnetization ... 0.0 μB per formula unit
Calculated density ... 5.7 g/cm³
Formation energy from raw total energies ... 0.1863 eV per atom
SG ... No. 166

Record 3
## Pr3IrO7 (PBE-GGA)

Data for an optimized crystal structure of Pr3IrO7.

Cell and atoms, written as CIF:
```
data_Pr3IrO7
_chemical_formula_sum 'Pr6 Ir2 O14'
_cell_length_a 6.7059
_cell_length_b 6.7059
_cell_length_c 7.6442
_cell_angle_alpha 90.00
_cell_angle_beta 90.00
_cell_angle_gamma 111.39
_symmetry_space_group_name_H-M 'P 1'
_symmetry_Int_Tables_number 1
_symmetry_space_group_name_Hall 'P 1'
loop_
_atom_site_label
_atom_site_type_symbol
_atom_site_fract_x
_atom_site_fract_y
_atom_site_fract_z
_atom_site_occupancy
Pr1 Pr 0.0000 0.0000 0.0000 1
Pr2 Pr 0.0000 0.0000 0.5000 1
Pr3 Pr 0.4732 0.9173 0.7500 1
Pr4 Pr 0.5268 0.0827 0.2500 1
Pr5 Pr 0.9173 0.4732 0.7500 1
Pr6 Pr 0.0827 0.5268 0.2500 1
Ir1 Ir 0.5000 0.5000 0.0000 1
Ir2 Ir 0.5000 0.5000 0.5000 1
O1 O 0.5854 0.5854 0.7500 1
O2 O 0.4146 0.4146 0.2500 1
O3 O 0.8431 0.1065 0.7500 1
O4 O 0.1569 0.8935 0.2500 1
O5 O 0.1065 0.8431 0.7500 1
O6 O 0.8935 0.1569 0.2500 1
O7 O 0.4400 0.1892 0.9618 1
O8 O 0.5600 0.8108 0.4618 1
O9 O 0.1892 0.4400 0.9618 1
O10 O 0.8108 0.5600 0.4618 1
O11 O 0.4400 0.1892 0.5382 1
O12 O 0.5600 0.8108 0.0382 1
O13 O 0.8108 0.5600 0.0382 1
O14 O 0.1892 0.4400 0.5382 1
```

Output
Total magnetization ... 2.0 μB per formula unit
Calculated density ... 7.5 g/cm³
Formation energy from raw total energies ... -2.5254 eV per atom
SG ... No. 63

Record 4
## Pm3Tm4Bi4 (PBE-GGA)

Data for an optimized crystal structure of Pm3Tm4Bi4.

Cell and atoms, written as CIF:
```
data_Pm3Tm4Bi4
_chemical_formula_sum 'Pm3 Tm4 Bi4'
_cell_length_a 4.3203
_cell_length_b 7.4321
_cell_length_c 11.3400
_cell_angle_alpha 90.00
_cell_angle_beta 90.00
_cell_angle_gamma 106.90
_symmetry_space_group_name_H-M 'P 1'
_symmetry_Int_Tables_number 1
_symmetry_space_group_name_Hall 'P 1'
loop_
_atom_site_label
_atom_site_type_symbol
_atom_site_fract_x
_atom_site_fract_y
_atom_site_fract_z
_atom_site_occupancy
Pm1 Pm 0.3654 0.7308 0.3504 1
Pm2 Pm 0.3654 0.7308 0.6496 1
Pm3 Pm 0.2871 0.5743 0.0000 1
Tm1 Tm 0.6665 0.3330 0.5000 1
Tm2 Tm 0.5895 0.1790 0.0000 1
Tm3 Tm 0.0649 0.1297 0.7583 1
Tm4 Tm 0.0649 0.1297 0.2417 1
Bi1 Bi 0.7274 0.4547 0.7814 1
Bi2 Bi 0.7274 0.4547 0.2186 1
Bi3 Bi 0.9954 0.9909 0.5000 1
Bi4 Bi 0.9447 0.8893 0.0000 1
```

Output
Total magnetization ... 0.0 μB per formula unit
Calculated density ... 9.3 g/cm³
Energy of formation from the pure elements ... -483.8 meV/atom
SG ... No. 38

Record 5
## LaTi3O (PBE-GGA)

Data for an optimized crystal structure of LaTi3O.

Cell and atoms, written as CIF:
```
data_LaTi3O
_chemical_formula_sum 'La1 Ti3 O1'
_cell_length_a 4.7446
_cell_length_b 4.7446
_cell_length_c 4.7446
_cell_angle_alpha 90.00
_cell_angle_beta 90.00
_cell_angle_gamma 90.00
_symmetry_space_group_name_H-M 'P 1'
_symmetry_Int_Tables_number 1
_symmetry_space_group_name_Hall 'P 1'
loop_
_atom_site_label
_atom_site_type_symbol
_atom_site_fract_x
_atom_site_fract_y
_atom_site_fract_z
_atom_site_occupancy
Ti1 Ti 0.0000 0.5000 0.0000 1
Ti2 Ti 0.0000 0.0000 0.5000 1
Ti3 Ti 0.5000 0.0000 0.0000 1
O1 O 0.5000 0.5000 0.5000 1
La1 La 0.0000 0.0000 0.0000 1
```

Output
Total magnetization ... 0.0 μB per formula unit
Calculated density ... 4.6 g/cm³
Formation energy from raw total energies ... 1.6715 eV per atom
SG ... No. 221

Record 6
## Nb3Cl5O2 (PBE-GGA)

Data for an optimized crystal structure of Nb3Cl5O2.

Cell and atoms, written as CIF:
```
data_Nb3Cl5O2
_chemical_formula_sum 'Nb12 Cl20 O8'
_cell_length_a 6.7835
_cell_length_b 8.1908
_cell_length_c 14.8779
_cell_angle_alpha 90.00
_cell_angle_beta 90.00
_cell_angle_gamma 90.00
_symmetry_space_group_name_H-M 'P 1'
_symmetry_Int_Tables_number 1
_symmetry_space_group_name_Hall 'P 1'
loop_
_atom_site_label
_atom_site_type_symbol
_atom_site_fract_x
_atom_site_fract_y
_atom_site_fract_z
_atom_site_occupancy
Nb1 Nb 0.7108 0.7381 0.2599 1
Nb2 Nb 0.7108 0.2619 0.7401 1
Nb3 Nb 0.7892 0.2381 0.2401 1
Nb4 Nb 0.7892 0.7619 0.7599 1
Nb5 Nb 0.2892 0.2619 0.7401 1
Nb6 Nb 0.2892 0.7381 0.2599 1
Nb7 Nb 0.2108 0.7619 0.7599 1
Nb8 Nb 0.2108 0.2381 0.2401 1
Nb9 Nb 0.5000 0.4744 0.6355 1
Nb10 Nb 0.5000 0.5256 0.3645 1
Nb11 Nb 0.0000 0.9744 0.8645 1
Nb12 Nb 0.0000 0.0256 0.1355 1
Cl1 Cl 0.5000 0.1752 0.6137 1
Cl2 Cl 0.5000 0.8248 0.3863 1
Cl3 Cl 0.0000 0.6752 0.8863 1
Cl4 Cl 0.0000 0.3248 0.1137 1
Cl5 Cl 0.2369 0.0000 0.0000 1
Cl6 Cl 0.2631 0.5000 0.5000 1
Cl7 Cl 0.7631 0.0000 0.0000 1
Cl8 Cl 0.7369 0.5000 0.5000 1
Cl9 Cl 0.0000 0.2069 0.3714 1
Cl10 Cl 0.0000 0.7931 0.6286 1
Cl11 Cl 0.5000 0.7069 0.1286 1
Cl12 Cl 0.5000 0.2931 0.8714 1
Cl13 Cl 0.5000 0.2051 0.3572 1
Cl14 Cl 0.5000 0.7949 0.6428 1
Cl15 Cl 0.0000 0.7051 0.1428 1
Cl16 Cl 0.0000 0.2949 0.8572 1
Cl17 Cl 0.5000 0.2728 0.1317 1
Cl18 Cl 0.5000 0.7272 0.8683 1
Cl19 Cl 0.0000 0.7728 0.3683 1
Cl20 Cl 0.0000 0.2272 0.6317 1
O1 O 0.7213 0.4891 0.2743 1
O2 O 0.7213 0.5109 0.7257 1
O3 O 0.7787 0.9891 0.2257 1
O4 O 0.7787 0.0109 0.7743 1
O5 O 0.2787 0.5109 0.7257 1
O6 O 0.2787 0.4891 0.2743 1
O7 O 0.2213 0.0109 0.7743 1
O8 O 0.2213 0.9891 0.2257 1
```

Output
Total magnetization ... 0.0 μB per formula unit
Calculated density ... 3.9 g/cm³
Formation energy from raw total energies ... -1.6424 eV per atom
SG ... No. 58